# GGA+U CoAsNO, relaxed
# Uncorrected energy (eV per atom): -6.031
# ρ (g cm⁻³): 5.578
data_CoAsNO
_chemical_formula_sum 'Co2 As2 N2 O2'
_symmetry_space_group_name_H-M 'P m c 21'
_symmetry_Int_Tables_number 26
_cell_length_a 3.041
_cell_length_b 6.119
_cell_length_c 5.243
_cell_angle_alpha 90.00
_cell_angle_beta 90.00
_cell_angle_gamma 90.00
loop_
_symmetry_equiv_pos_as_xyz
'x,y,z'
'-x,-y,z+1/2'
'-x,y,z'
'x,-y,z+1/2'
loop_
_atom_site_label
_atom_site_type_symbol
_atom_site_fract_x
_atom_site_fract_y
_atom_site_fract_z
_atom_site_occupancy
Co1 Co 0.000 0.089 0.000 1
As1 As 0.500 0.360 0.500 1
N1 N 0.000 0.225 0.345 1
O1 O 0.500 0.159 0.763 1